Below is a geometry-optimized SrSmPu structure, with properties calculated at the PBE level. Values from VASP.

Geometry as Quantum ESPRESSO input:
```
&SYSTEM
  ibrav = 0, nat = 3, ntyp = 3
/
ATOMIC_SPECIES
Sr 87.62 Sr.upf
Sm 150.36 Sm.upf
Pu 244.00 Pu.upf
CELL_PARAMETERS angstrom
0.0000 4.0480 4.0480
4.0480 0.0000 4.0480
4.0480 4.0480 0.0000
ATOMIC_POSITIONS crystal
Sr 0.0000 0.0000 0.0000
Sm 0.7500 0.7500 0.7500
Pu 0.5000 0.5000 0.5000
```

Results
- Symmetry: No. 216
- ΔE to the lowest computed polymorph: 0.00 eV per formula unit



Below is a geometry-optimized SmPuTa structure, with properties calculated at the PBE level. Values from VASP.

Geometry as Quantum ESPRESSO input:
```
&SYSTEM
  ibrav = 0, nat = 3, ntyp = 3
/
ATOMIC_SPECIES
Sm 150.36 Sm.upf
Pu 244.00 Pu.upf
Ta 180.95 Ta.upf
CELL_PARAMETERS angstrom
0.0000 3.3259 3.3259
3.3259 0.0000 3.3259
3.3259 3.3259 0.0000
ATOMIC_POSITIONS crystal
Sm 0.0000 0.0000 0.0000
Pu 0.2500 0.2500 0.2500
Ta 0.5000 0.5000 0.5000
```

Results
- Symmetry: No. 216
- ΔE_f: 1.26 eV per atom
- ΔE to the lowest computed polymorph: 0.00 eV per formula unit



Below is a geometry-optimized TbSmPu structure, with properties calculated at the PBE level. Values from VASP.

Geometry as Quantum ESPRESSO input:
```
&SYSTEM
  ibrav = 0, nat = 3, ntyp = 3
/
ATOMIC_SPECIES
Tb 158.93 Tb.upf
Sm 150.36 Sm.upf
Pu 244.00 Pu.upf
CELL_PARAMETERS angstrom
0.0000 3.6893 3.6893
3.6893 0.0000 3.6893
3.6893 3.6893 0.0000
ATOMIC_POSITIONS crystal
Tb 0.0000 0.0000 0.0000
Sm 0.7500 0.7500 0.7500
Pu 0.5000 0.5000 0.5000
```

Results
- Symmetry: No. 216
- ΔE_f: 0.84 eV per atom
- ΔE to the lowest computed polymorph: 0.00 eV per formula unit



Below is a geometry-optimized SmPuTc structure, with properties calculated at the PBE level. Values from VASP.

Geometry as Quantum ESPRESSO input:
```
&SYSTEM
  ibrav = 0, nat = 3, ntyp = 3
/
ATOMIC_SPECIES
Sm 150.36 Sm.upf
Pu 244.00 Pu.upf
Tc 98.00 Tc.upf
CELL_PARAMETERS angstrom
0.0000 3.3272 3.3272
3.3272 0.0000 3.3272
3.3272 3.3272 0.0000
ATOMIC_POSITIONS crystal
Sm 0.0000 0.0000 0.0000
Pu 0.2500 0.2500 0.2500
Tc 0.5000 0.5000 0.5000
```

Results
- Symmetry: No. 216
- ΔE_f: 0.78 eV per atom



Below is a geometry-optimized SmPuTe structure, with properties calculated at the PBE level. Values from VASP.

Geometry as Quantum ESPRESSO input:
```
&SYSTEM
  ibrav = 0, nat = 3, ntyp = 3
/
ATOMIC_SPECIES
Sm 150.36 Sm.upf
Pu 244.00 Pu.upf
Te 127.60 Te.upf
CELL_PARAMETERS angstrom
0.0000 3.6611 3.6611
3.6611 0.0000 3.6611
3.6611 3.6611 0.0000
ATOMIC_POSITIONS crystal
Sm 0.0000 0.0000 0.0000
Pu 0.5000 0.5000 0.5000
Te 0.7500 0.7500 0.7500
```

Results
- Symmetry: No. 216
- ΔE to the lowest computed polymorph: 0.00 eV per formula unit



Below is a geometry-optimized Sm3PuTe4 structure, with properties calculated at the PBE level. Values from VASP.

Geometry as Quantum ESPRESSO input:
```
&SYSTEM
  ibrav = 0, nat = 8, ntyp = 3
/
ATOMIC_SPECIES
Sm 150.36 Sm.upf
Pu 244.00 Pu.upf
Te 127.60 Te.upf
CELL_PARAMETERS angstrom
4.4621 -6.2762 0.0000
4.4621 6.2762 0.0000
0.0000 0.0000 4.4028
ATOMIC_POSITIONS crystal
Sm 0.0000 0.0000 0.0000
Sm 0.0000 0.5000 0.5000
Sm 0.5000 0.0000 0.5000
Pu 0.5000 0.5000 0.0000
Te 0.2513 0.7487 0.0000
Te 0.2524 0.2524 0.5000
Te 0.7476 0.7476 0.5000
Te 0.7487 0.2513 0.0000
```

Results
- Symmetry: No. 65



Below is a geometry-optimized SmPuTh structure, with properties calculated at the PBE level. Values from VASP.

Geometry as Quantum ESPRESSO input:
```
&SYSTEM
  ibrav = 0, nat = 3, ntyp = 3
/
ATOMIC_SPECIES
Sm 150.36 Sm.upf
Pu 244.00 Pu.upf
Th 232.04 Th.upf
CELL_PARAMETERS angstrom
0.0000 3.6215 3.6215
3.6215 0.0000 3.6215
3.6215 3.6215 0.0000
ATOMIC_POSITIONS crystal
Sm 0.0000 0.0000 0.0000
Pu 0.2500 0.2500 0.2500
Th 0.5000 0.5000 0.5000
```

Results
- Symmetry: No. 216
- ΔE_f: 0.73 eV per atom
- ΔE to the lowest computed polymorph: 0.00 eV per formula unit



Below is a geometry-optimized SmPuTl structure, with properties calculated at the PBE level. Values from VASP.

Geometry as Quantum ESPRESSO input:
```
&SYSTEM
  ibrav = 0, nat = 3, ntyp = 3
/
ATOMIC_SPECIES
Sm 150.36 Sm.upf
Pu 244.00 Pu.upf
Tl 204.38 Tl.upf
CELL_PARAMETERS angstrom
0.0000 3.7372 3.7372
3.7372 0.0000 3.7372
3.7372 3.7372 0.0000
ATOMIC_POSITIONS crystal
Sm 0.0000 0.0000 0.0000
Pu 0.5000 0.5000 0.5000
Tl 0.7500 0.7500 0.7500
```

Results
- Symmetry: No. 216
- ΔE to the lowest computed polymorph: 0.00 eV per formula unit



Below is a geometry-optimized SmTmPu structure, with properties calculated at the PBE level. Values from VASP.

Geometry as Quantum ESPRESSO input:
```
&SYSTEM
  ibrav = 0, nat = 3, ntyp = 3
/
ATOMIC_SPECIES
Sm 150.36 Sm.upf
Tm 168.93 Tm.upf
Pu 244.00 Pu.upf
CELL_PARAMETERS angstrom
0.0000 3.7620 3.7620
3.7620 0.0000 3.7620
3.7620 3.7620 0.0000
ATOMIC_POSITIONS crystal
Sm 0.0000 0.0000 0.0000
Tm 0.7500 0.7500 0.7500
Pu 0.5000 0.5000 0.5000
```

Results
- Symmetry: No. 216
- ΔE_f: 1.65 eV per atom
- ΔE to the lowest computed polymorph: 0.00 eV per formula unit



Below is a geometry-optimized SmPuU structure, with properties calculated at the PBE level. Values from VASP.

Geometry as Quantum ESPRESSO input:
```
&SYSTEM
  ibrav = 0, nat = 3, ntyp = 3
/
ATOMIC_SPECIES
Sm 150.36 Sm.upf
Pu 244.00 Pu.upf
U 238.03 U.upf
CELL_PARAMETERS angstrom
0.0000 3.5391 3.5391
3.5391 0.0000 3.5391
3.5391 3.5391 0.0000
ATOMIC_POSITIONS crystal
Sm 0.0000 0.0000 0.0000
Pu 0.5000 0.5000 0.5000
U 0.7500 0.7500 0.7500
```

Results
- Symmetry: No. 216
- ΔE_f: 1.01 eV per atom
- ΔE to the lowest computed polymorph: 0.00 eV per formula unit



Below is a geometry-optimized SmPuW structure, with properties calculated at the PBE level. Values from VASP.

Geometry as Quantum ESPRESSO input:
```
&SYSTEM
  ibrav = 0, nat = 3, ntyp = 3
/
ATOMIC_SPECIES
Sm 150.36 Sm.upf
Pu 244.00 Pu.upf
W 183.84 W.upf
CELL_PARAMETERS angstrom
0.0000 3.2710 3.2710
3.2710 0.0000 3.2710
3.2710 3.2710 0.0000
ATOMIC_POSITIONS crystal
Sm 0.0000 0.0000 0.0000
Pu 0.2500 0.2500 0.2500
W 0.5000 0.5000 0.5000
```

Results
- Symmetry: No. 216
- ΔE_f: 1.32 eV per atom
- ΔE to the lowest computed polymorph: 0.00 eV per formula unit



Below is a geometry-optimized SmYPu structure, with properties calculated at the PBE level. Values from VASP.

Geometry as Quantum ESPRESSO input:
```
&SYSTEM
  ibrav = 0, nat = 3, ntyp = 3
/
ATOMIC_SPECIES
Sm 150.36 Sm.upf
Y 88.91 Y.upf
Pu 244.00 Pu.upf
CELL_PARAMETERS angstrom
0.0000 3.7586 3.7586
3.7586 0.0000 3.7586
3.7586 3.7586 0.0000
ATOMIC_POSITIONS crystal
Sm 0.0000 0.0000 0.0000
Y 0.5000 0.5000 0.5000
Pu 0.7500 0.7500 0.7500
```

Results
- Symmetry: No. 216
- ΔE_f: 0.80 eV per atom
- ΔE to the lowest computed polymorph: 0.00 eV per formula unit



Number 1: total DFT energy (no corrections) -17.75 eV for the cell shown, spin magnetization 8.09 μB per formula unit. Number 2: total DFT energy (no corrections) -26.92 eV for the cell shown, spin magnetization 6.89 μB per formula unit. Number 3: total DFT energy (no corrections) -20.95 eV for the cell shown, spin magnetization 7.11 μB per formula unit. Number 4: total DFT energy (no corrections) -26.87 eV for the cell shown, spin magnetization 5.33 μB per formula unit. Number 5: total DFT energy (no corrections) -23.40 eV for the cell shown, spin magnetization 7.40 μB per formula unit. Number 6: total DFT energy (no corrections) -49.08 eV for the cell shown, spin magnetization 0.13 μB per formula unit. Number 7: total DFT energy (no corrections) -24.06 eV for the cell shown, spin magnetization 7.10 μB per formula unit. Number 8: total DFT energy (no corrections) -20.70 eV for the cell shown, spin magnetization 6.53 μB per formula unit. Number 9: total DFT energy (no corrections) -18.37 eV for the cell shown, spin magnetization 0.46 μB per formula unit. Number 10: total DFT energy (no corrections) -27.11 eV for the cell shown, spin magnetization 9.18 μB per formula unit. Number 11: total DFT energy (no corrections) -27.83 eV for the cell shown, spin magnetization 5.21 μB per formula unit. Number 12: total DFT energy (no corrections) -22.90 eV for the cell shown, spin magnetization 6.69 μB per formula unit.